Entry 1:
# LaY6Tm GGA-PBE relaxed
data_LaY6Tm
_symmetry_space_group_name_H-M 'P -1'
_symmetry_Int_Tables_number 2
_cell_length_a 6.5936
_cell_length_b 6.7963
_cell_length_c 6.9511
_cell_angle_alpha 118.30
_cell_angle_beta 102.75
_cell_angle_gamma 90.67
loop_
_symmetry_equiv_pos_as_xyz
'x,y,z'
'-x,-y,-z'
loop_
_atom_site_label
_atom_site_type_symbol
_atom_site_fract_x
_atom_site_fract_y
_atom_site_fract_z
La1 La 0.0000 0.0000 0.0000
Y1 Y 0.2365 0.5815 0.4907
Y2 Y 0.2550 0.5487 0.0056
Y3 Y 0.2741 0.0966 0.5306
Tm1 Tm 0.5000 0.0000 0.0000
# energy of formation from the pure elements = 1.62 eV/f.u.
# energy relative to the lowest polymorph listed for this composition = 0.054 eV per atom

=====

Entry 2:
# Sm3Ta17O47 GGA-PBE relaxed
data_Sm3Ta17O47
_symmetry_space_group_name_H-M 'P 1 2/m 1'
_symmetry_Int_Tables_number 10
_cell_length_a 12.8177
_cell_length_b 3.9097
_cell_length_c 19.4078
_cell_angle_alpha 90.00
_cell_angle_beta 102.86
_cell_angle_gamma 90.00
loop_
_symmetry_equiv_pos_as_xyz
'x,y,z'
'-x,-y,-z'
'-x,y,-z'
'x,-y,z'
loop_
_atom_site_label
_atom_site_type_symbol
_atom_site_fract_x
_atom_site_fract_y
_atom_site_fract_z
Sm1 Sm 0.0000 0.0000 0.0000
Sm2 Sm 0.3770 0.0000 0.6677
Ta1 Ta 0.0265 0.5000 0.8540
Ta2 Ta 0.1050 0.5000 0.3514
Ta3 Ta 0.1917 0.5000 0.7173
Ta4 Ta 0.2284 0.5000 0.0420
Ta5 Ta 0.2341 0.5000 0.2157
Ta6 Ta 0.2787 0.5000 0.5282
Ta7 Ta 0.4112 0.5000 0.3735
Ta8 Ta 0.4898 0.5000 0.1914
Ta9 Ta 0.5000 0.5000 0.0000
O1 O 0.0293 0.0000 0.8727
O2 O 0.0502 0.5000 0.6652
O3 O 0.0780 0.5000 0.2367
O4 O 0.0879 0.5000 0.9641
O5 O 0.1055 0.0000 0.3504
O6 O 0.1219 0.5000 0.1161
O7 O 0.1438 0.5000 0.8071
O8 O 0.1541 0.5000 0.4545
O9 O 0.1979 0.0000 0.0384
O10 O 0.2204 0.0000 0.7206
O11 O 0.2315 0.0000 0.2140
O12 O 0.2361 0.5000 0.6220
O13 O 0.2500 0.5000 0.3265
O14 O 0.2920 0.0000 0.5429
O15 O 0.3260 0.5000 0.1368
O16 O 0.3401 0.5000 0.9961
O17 O 0.3674 0.5000 0.7445
O18 O 0.3745 0.5000 0.4629
O19 O 0.3952 0.5000 0.2652
O20 O 0.4304 0.5000 0.6094
O21 O 0.4309 0.0000 0.3676
O22 O 0.4739 0.5000 0.8957
O23 O 0.4972 0.0000 0.2104
O24 O 0.5000 0.0000 0.0000
# uncorrected formation energy = -2.95 eV per atom

=====

So what do the calculations give for DOS(E_F)? Going down the list: 1.869 0.000 states/eV per atom.
So what do the calculations give for magnetization? Going down the list: 0.00 0.00 μB per cell.
So what do the calculations give for V? Going down the list: 33.13 14.15 Å³ per atom.